[1]
Below is crystalline CaTcBi2Sb at its relaxed geometry, with properties calculated at the PBE-GGA level.

Calculated values
The value obtained for the density of states at the Fermi level is 1.184 states/eV per atom. The calculation puts the total magnetization at 2.56 Bohr magnetons per cell. As for the uncorrected formation energy: 1.301 eV per atom.

Cell: 5.7749 5.7749 4.9428 Å, 90.00 90.00 90.00°
Closest atoms and distances in Å follow each position.
Fractional coordinates of all 5 atoms:
Ca: 0.0000 0.0000 0.0000  2 Tc 2.47
Tc: 0.0000 0.0000 0.5000  2 Ca 2.47
Bi: 0.0000 0.5000 0.0000  2 Ca 2.89
Bi: 0.5000 0.0000 0.0000  2 Ca 2.89
Sb: 0.5000 0.5000 0.5000  8 Bi 3.80, 4 Tc 4.08

[2]
Below is crystalline CaBiSb2Te at its relaxed geometry, with properties calculated at the PBE-GGA level.

Calculated values
The relative energy among the computed polymorphs comes out at 0 meV per atom. The value obtained for the density of states at the Fermi level is 0.963 states/eV per atom. The calculation puts the total magnetization at 0.00 Bohr magnetons per cell. As for the uncorrected formation energy: 0.255 eV per atom.

Cell: 5.7618 5.7618 6.0172 Å, 90.00 90.00 90.00°
Closest atoms and distances in Å follow each position.
Fractional coordinates of all 5 atoms:
Ca: 0.0000 0.0000 0.0000  4 Te 4.07, 8 Sb 4.17
Bi: 0.5000 0.5000 0.5000  4 Sb 2.88, 2 Te 3.01
Sb: 0.0000 0.5000 0.5000  2 Bi 2.88
Sb: 0.5000 0.0000 0.5000  2 Bi 2.88
Te: 0.5000 0.5000 0.0000  2 Bi 3.01

[3]
Below is crystalline CaBiSbTe2 at its relaxed geometry, with properties calculated at the PBE-GGA level.

Calculated values
The relative energy among the computed polymorphs comes out at 0 meV per atom. The value obtained for the density of states at the Fermi level is 1.216 states/eV per atom. The calculation puts the total magnetization at 0.46 Bohr magnetons per cell. As for the uncorrected formation energy: 0.087 eV per atom.

Cell: 5.9526 5.9526 5.7493 Å, 90.00 90.00 90.00°
Closest atoms and distances in Å follow each position.
Fractional coordinates of all 5 atoms:
Ca: 0.0000 0.0000 0.0000  8 Te 4.14, 4 Sb 4.21
Bi: 0.5000 0.5000 0.5000  2 Sb 2.87, 4 Te 2.98
Sb: 0.5000 0.5000 0.0000  2 Bi 2.87
Te: 0.0000 0.5000 0.5000  2 Bi 2.98
Te: 0.5000 0.0000 0.5000  2 Bi 2.98

[4]
Below is crystalline CaTlBiSb at its relaxed geometry, with properties calculated at the PBE-GGA level.

Calculated values
The value obtained for the density of states at the Fermi level is 0.560 states/eV per atom. The calculation puts the total magnetization at 0.00 Bohr magnetons per cell. As for the uncorrected formation energy: -0.263 eV per atom.

Cell: 7.8642 7.8642 7.8642 Å, 90.00 90.00 90.00°
Closest atoms and distances in Å follow each position.
Fractional coordinates of all 16 atoms:
Ca: 0.0000 0.0000 0.0000  4 Sb 3.41, 4 Tl 3.41
Ca: 0.0000 0.5000 0.5000  4 Sb 3.41, 4 Tl 3.41
Ca: 0.5000 0.0000 0.5000  4 Sb 3.41, 4 Tl 3.41
Ca: 0.5000 0.5000 0.0000  4 Sb 3.41, 4 Tl 3.41
Tl: 0.2500 0.2500 0.2500  4 Ca 3.41, 4 Bi 3.41
Tl: 0.2500 0.7500 0.7500  4 Ca 3.41, 4 Bi 3.41
Tl: 0.7500 0.2500 0.7500  4 Ca 3.41, 4 Bi 3.41
Tl: 0.7500 0.7500 0.2500  4 Ca 3.41, 4 Bi 3.41
Bi: 0.0000 0.0000 0.5000  4 Tl 3.41, 4 Sb 3.41
Bi: 0.0000 0.5000 0.0000  4 Tl 3.41, 4 Sb 3.41
Bi: 0.5000 0.0000 0.0000  4 Tl 3.41, 4 Sb 3.41
Bi: 0.5000 0.5000 0.5000  4 Tl 3.41, 4 Sb 3.41
Sb: 0.2500 0.2500 0.7500  4 Bi 3.41, 4 Ca 3.41
Sb: 0.2500 0.7500 0.2500  4 Bi 3.41, 4 Ca 3.41
Sb: 0.7500 0.2500 0.2500  4 Bi 3.41, 4 Ca 3.41
Sb: 0.7500 0.7500 0.7500  4 Bi 3.41, 4 Ca 3.41

[5]
Below is crystalline CaZrBi2Sb at its relaxed geometry, with properties calculated at the PBE-GGA level.

Calculated values
The value obtained for the density of states at the Fermi level is 1.279 states/eV per atom. The calculation puts the total magnetization at 1.98 Bohr magnetons per cell. As for the uncorrected formation energy: 0.696 eV per atom.

Cell: 5.8852 5.8852 5.5315 Å, 90.00 90.00 90.00°
Closest atoms and distances in Å follow each position.
Fractional coordinates of all 5 atoms:
Ca: 0.0000 0.0000 0.0000  2 Sb 2.77
Zr: 0.5000 0.5000 0.0000  8 Bi 4.04, 4 Ca 4.16
Bi: 0.0000 0.5000 0.5000  2 Sb 2.94
Bi: 0.5000 0.0000 0.5000  2 Sb 2.94
Sb: 0.0000 0.0000 0.5000  2 Ca 2.77, 4 Bi 2.94

[6]
Below is crystalline CaSc3Bi at its relaxed geometry, with properties calculated at the PBE-GGA level.

Calculated values
The relative energy among the computed polymorphs comes out at 0 meV per atom. The value obtained for the density of states at the Fermi level is 0.953 states/eV per atom. The calculation puts the total magnetization at 1.95 Bohr magnetons per cell. The energy of formation from the pure elements comes out at 257 meV/atom.

Cell: 5.5653 5.5653 5.5653 Å, 90.00 90.00 90.00°
Closest atoms and distances in Å follow each position.
Fractional coordinates of all 5 atoms:
Ca: 0.0000 0.0000 0.0000  12 Sc 3.94
Sc: 0.0000 0.5000 0.5000  2 Bi 2.78
Sc: 0.5000 0.0000 0.5000  2 Bi 2.78
Sc: 0.5000 0.5000 0.0000  2 Bi 2.78
Bi: 0.5000 0.5000 0.5000  6 Sc 2.78

[7]
Below is crystalline Ca3ScBi3 at its relaxed geometry, with properties calculated at the PBE-GGA level.

Calculated values
The calculation puts the total magnetization at 0.00 Bohr magnetons per cell. The energy of formation from the pure elements comes out at -701 meV/atom.

Cell: 8.2757 8.2757 8.0142 Å, 94.26 94.26 113.36°
Closest atoms and distances in Å follow each position.
Fractional coordinates of all 14 atoms:
Ca: 0.1617 0.8383 0.0000  4 Bi 3.16-3.27
Ca: 0.2201 0.7799 0.5000  6 Bi 3.33-3.69, 2 Sc 3.64
Ca: 0.4081 0.4081 0.1618  3 Bi 3.02-3.38, 1 Ca 3.27
Ca: 0.5919 0.5919 0.8382  3 Bi 3.02-3.38, 1 Ca 3.27
Ca: 0.7799 0.2201 0.5000  6 Bi 3.33-3.69, 2 Sc 3.64
Ca: 0.8383 0.1617 0.0000  4 Bi 3.16-3.27
Sc: 0.1932 0.1932 0.6500  4 Bi 2.82-2.89
Sc: 0.8068 0.8068 0.3500  4 Bi 2.82-2.89
Bi: 0.1096 0.1096 0.2887  2 Sc 2.86-2.89, 1 Ca 3.02
Bi: 0.1536 0.4968 0.7879  1 Sc 2.82
Bi: 0.4968 0.1536 0.7879  1 Sc 2.82
Bi: 0.5032 0.8464 0.2121  1 Sc 2.82
Bi: 0.8464 0.5032 0.2121  1 Sc 2.82
Bi: 0.8904 0.8904 0.7113  2 Sc 2.86-2.89, 1 Ca 3.02

[8]
Below is crystalline CaSc2Bi at its relaxed geometry, with properties calculated at the PBE-GGA level.

Calculated values
The value obtained for the density of states at the Fermi level is 1.313 states/eV per atom. The calculation puts the total magnetization at 0.00 Bohr magnetons per cell. The energy of formation from the pure elements comes out at 122 meV/atom.

Cell: 3.8344 3.8344 31.2793 Å, 90.00 90.00 120.00°
Closest atoms and distances in Å follow each position.
Fractional coordinates of all 12 atoms:
Ca: 0.0000 0.0000 0.0000  2 Sc 3.30
Ca: 0.3333 0.6667 0.6667  2 Sc 3.30
Ca: 0.6667 0.3333 0.3333  2 Sc 3.30
Sc: 0.0000 0.0000 0.1056  3 Bi 2.92
Sc: 0.0000 0.0000 0.8944  3 Bi 2.92
Sc: 0.3333 0.6667 0.5610  3 Bi 2.92
Sc: 0.3333 0.6667 0.7723  3 Bi 2.92
Sc: 0.6667 0.3333 0.2277  3 Bi 2.92
Sc: 0.6667 0.3333 0.4390  3 Bi 2.92
Bi: 0.0000 0.0000 0.5000  6 Sc 2.92
Bi: 0.3333 0.6667 0.1667  6 Sc 2.92
Bi: 0.6667 0.3333 0.8333  6 Sc 2.92

[9]
Below is crystalline Ca2ScBi at its relaxed geometry, with properties calculated at the PBE-GGA level.

Calculated values
The value obtained for the density of states at the Fermi level is 0.378 states/eV per atom. The calculation puts the total magnetization at 0.00 Bohr magnetons per cell. The energy of formation from the pure elements comes out at -2 meV/atom.

Cell: 9.1735 9.1735 6.4668 Å, 90.00 90.00 90.00°
Closest atoms and distances in Å follow each position.
Fractional coordinates of all 16 atoms:
Ca: 0.2144 0.2500 0.1250  2 Bi 3.13, 2 Ca 3.30
Ca: 0.2500 0.7144 0.3750  2 Bi 3.13, 2 Ca 3.30
Ca: 0.2500 0.7856 0.8750  2 Bi 3.13, 2 Ca 3.30
Ca: 0.2856 0.2500 0.6250  2 Bi 3.13, 2 Ca 3.30
Ca: 0.7144 0.7500 0.6250  2 Bi 3.13, 2 Ca 3.30
Ca: 0.7500 0.2144 0.8750  2 Bi 3.13, 2 Ca 3.30
Ca: 0.7500 0.2856 0.3750  2 Bi 3.13, 2 Ca 3.30
Ca: 0.7856 0.7500 0.1250  2 Bi 3.13, 2 Ca 3.30
Sc: 0.0000 0.0000 0.5000  2 Bi 3.23, 4 Ca 3.57
Sc: 0.0000 0.5000 0.7500  2 Bi 3.23, 4 Ca 3.57
Sc: 0.5000 0.0000 0.2500  2 Bi 3.23, 4 Ca 3.57
Sc: 0.5000 0.5000 0.0000  2 Bi 3.23, 4 Ca 3.57
Bi: 0.0000 0.0000 0.0000  4 Ca 3.13, 2 Sc 3.23
Bi: 0.0000 0.5000 0.2500  4 Ca 3.13, 2 Sc 3.23
Bi: 0.5000 0.0000 0.7500  4 Ca 3.13, 2 Sc 3.23
Bi: 0.5000 0.5000 0.5000  4 Ca 3.13, 2 Sc 3.23

[10]
Below is crystalline CaSc2Bi at its relaxed geometry, with properties calculated at the PBE-GGA level.

Calculated values
The value obtained for the density of states at the Fermi level is 1.459 states/eV per atom. The calculation puts the total magnetization at 3.77 Bohr magnetons per cell. The energy of formation from the pure elements comes out at 34 meV/atom.

Cell: 8.7612 8.7612 6.4327 Å, 90.00 90.00 90.00°
Closest atoms and distances in Å follow each position.
Fractional coordinates of all 16 atoms:
Ca: 0.0000 0.0000 0.0000  2 Bi 3.22, 4 Sc 3.47
Ca: 0.0000 0.5000 0.2500  2 Bi 3.22, 4 Sc 3.47
Ca: 0.5000 0.0000 0.7500  2 Bi 3.22, 4 Sc 3.47
Ca: 0.5000 0.5000 0.5000  2 Bi 3.22, 4 Sc 3.47
Sc: 0.2072 0.2500 0.6250  2 Bi 2.96, 2 Sc 3.30
Sc: 0.2500 0.7072 0.8750  2 Bi 2.96, 2 Sc 3.30
Sc: 0.2500 0.7928 0.3750  2 Bi 2.96, 2 Sc 3.30
Sc: 0.2928 0.2500 0.1250  2 Bi 2.96, 2 Sc 3.30
Sc: 0.7072 0.7500 0.1250  2 Bi 2.96, 2 Sc 3.30
Sc: 0.7500 0.2072 0.3750  2 Bi 2.96, 2 Sc 3.30
Sc: 0.7500 0.2928 0.8750  2 Bi 2.96, 2 Sc 3.30
Sc: 0.7928 0.7500 0.6250  2 Bi 2.96, 2 Sc 3.30
Bi: 0.0000 0.0000 0.5000  4 Sc 2.96, 2 Ca 3.22
Bi: 0.0000 0.5000 0.7500  4 Sc 2.96, 2 Ca 3.22
Bi: 0.5000 0.0000 0.2500  4 Sc 2.96, 2 Ca 3.22
Bi: 0.5000 0.5000 0.0000  4 Sc 2.96, 2 Ca 3.22

[11]
Below is crystalline CaSc3Bi2 at its relaxed geometry, with properties calculated at the PBE-GGA level.

Calculated values
The value obtained for the density of states at the Fermi level is 1.048 states/eV per atom. The calculation puts the total magnetization at 2.05 Bohr magnetons per cell. The energy of formation from the pure elements comes out at -438 meV/atom.

Cell: 9.5900 9.5900 10.2380 Å, 121.23 121.23 26.75°
Closest atoms and distances in Å follow each position.
Fractional coordinates of all 12 atoms:
Ca: 0.1219 0.1219 0.1250  6 Bi 3.31-3.44
Ca: 0.8781 0.8781 0.8750  6 Bi 3.31-3.44
Sc: 0.0480 0.0480 0.6904  3 Bi 3.01-3.07, 7 Sc 3.20-3.31
Sc: 0.3156 0.3156 0.0971  4 Bi 3.09-3.20, 5 Sc 3.11-3.31
Sc: 0.4043 0.4043 0.4765  3 Bi 3.07-3.11, 6 Sc 3.20-3.34
Sc: 0.5957 0.5957 0.5235  3 Bi 3.07-3.11, 6 Sc 3.20-3.34
Sc: 0.6844 0.6844 0.9029  4 Bi 3.09-3.20, 5 Sc 3.11-3.31
Sc: 0.9520 0.9520 0.3096  3 Bi 3.01-3.07, 7 Sc 3.20-3.31
Bi: 0.2229 0.2229 0.7288  6 Sc 3.07-3.20, 2 Ca 3.31
Bi: 0.4990 0.4990 0.1695  4 Sc 3.01-3.09
Bi: 0.5010 0.5010 0.8305  4 Sc 3.01-3.09
Bi: 0.7771 0.7771 0.2712  6 Sc 3.07-3.20, 2 Ca 3.31

[12]
Below is crystalline CaSc3Bi at its relaxed geometry, with properties calculated at the PBE-GGA level.

Calculated values
The relative energy among the computed polymorphs comes out at 687 meV per atom. The value obtained for the density of states at the Fermi level is 1.027 states/eV per atom. The calculation puts the total magnetization at 0.00 Bohr magnetons per cell. The energy of formation from the pure elements comes out at 944 meV/atom.

Cell: 5.2471 5.2471 5.2471 Å, 90.00 90.00 90.00°
Closest atoms and distances in Å follow each position.
Fractional coordinates of all 5 atoms:
Ca: 0.0000 0.0000 0.0000  6 Sc 2.62
Sc: 0.0000 0.0000 0.5000  2 Ca 2.62
Sc: 0.0000 0.5000 0.0000  2 Ca 2.62
Sc: 0.5000 0.0000 0.0000  2 Ca 2.62
Bi: 0.5000 0.5000 0.5000  12 Sc 3.71

no.,ρ (g/cm3)
1,6.83
2,5.16
3,5.10
4,7.86
5,5.82
6,3.70
7,5.27
8,4.24
9,4.08
10,4.56
11,5.49
12,4.41